(1)
Material: CsSbS2Cl
Method: DFT, PBE-GGA
State: optimized geometry

uncorrected formation energy = -0.667 eV/atom
electronic total energy = -18.4 eV per cell

Geometry as CIF:
```
data_CsSbS2Cl
_chemical_formula_sum 'Cs1 Sb1 S2 Cl1'
_cell_length_a 5.1459
_cell_length_b 5.1459
_cell_length_c 5.6273
_cell_angle_alpha 90.00
_cell_angle_beta 90.00
_cell_angle_gamma 90.00
_symmetry_space_group_name_H-M 'P 4/m m m'
_symmetry_Int_Tables_number 123
_symmetry_space_group_name_Hall '-P 4 2'
loop_
_atom_site_label
_atom_site_fract_x
_atom_site_fract_y
_atom_site_fract_z
_atom_site_occupancy
Cs1 0.0000 0.0000 0.0000 1
Sb1 0.5000 0.5000 0.5000 1
S1 0.0000 0.5000 0.5000 1
Cl1 0.5000 0.5000 0.0000 1
```

(2)
Material: Ce3ErTh
Method: DFT, PBE-GGA
State: optimized geometry

ΔH_f (0 K) = 0.07 eV/atom
electronic total energy = -58.9 eV per cell

Geometry as CIF:
```
data_Ce3ErTh
_chemical_formula_sum 'Ce6 Er2 Th2'
_cell_length_a 3.5145
_cell_length_b 6.0120
_cell_length_c 14.1898
_cell_angle_alpha 82.57
_cell_angle_beta 88.70
_cell_angle_gamma 76.09
_symmetry_space_group_name_H-M 'P -1'
_symmetry_Int_Tables_number 2
loop_
_symmetry_equiv_pos_as_xyz
'x,y,z'
'-x,-y,-z'
loop_
_atom_site_label
_atom_site_fract_x
_atom_site_fract_y
_atom_site_fract_z
_atom_site_occupancy
Ce1 0.0165 0.4817 0.3629 1
Ce2 0.1225 0.2061 0.0545 1
Ce3 0.2458 0.7845 0.4843 1
Er1 0.3177 0.9550 0.7321 1
Th1 0.4354 0.6287 0.1517 1
```

(3)
Material: Sr2TaTe
Method: DFT, PBE-GGA
State: optimized geometry

uncorrected formation energy = 0.396 eV/atom
energy above the lowest structure with this stoichiometry = 0.345 eV/atom
electronic total energy = -67.1 eV per cell

Geometry as CIF:
```
data_Sr2TaTe
_chemical_formula_sum 'Sr8 Ta4 Te4'
_cell_length_a 8.0771
_cell_length_b 8.0771
_cell_length_c 8.0771
_cell_angle_alpha 90.00
_cell_angle_beta 90.00
_cell_angle_gamma 90.00
_symmetry_space_group_name_H-M 'F m -3 m'
_symmetry_Int_Tables_number 225
_symmetry_space_group_name_Hall '-F 4 2 3'
loop_
_atom_site_label
_atom_site_fract_x
_atom_site_fract_y
_atom_site_fract_z
_atom_site_occupancy
Sr1 0.2500 0.2500 0.2500 1
Ta1 0.0000 0.0000 0.0000 1
Te1 0.0000 0.0000 0.5000 1
```

(4)
Material: CrCdBr4
Method: DFT, PBE-GGA
State: optimized geometry

uncorrected formation energy = 0.640 eV/atom
energy above the lowest structure with this stoichiometry = 1.356 eV/atom
electronic total energy = -53.6 eV per cell

Geometry as CIF:
```
data_CrCdBr4
_chemical_formula_sum 'Cr4 Cd4 Br16'
_cell_length_a 8.9823
_cell_length_b 8.9823
_cell_length_c 8.9823
_cell_angle_alpha 90.00
_cell_angle_beta 90.00
_cell_angle_gamma 90.00
_symmetry_space_group_name_H-M 'F -4 3 m'
_symmetry_Int_Tables_number 216
_symmetry_space_group_name_Hall 'F -4 2 3'
loop_
_atom_site_label
_atom_site_fract_x
_atom_site_fract_y
_atom_site_fract_z
_atom_site_occupancy
Cr1 0.0000 0.0000 0.0000 1
Cd1 0.2500 0.2500 0.2500 1
Br1 0.1249 0.1249 0.6249 1
```

(5)
Material: RbGa2Ag
Method: DFT, PBE-GGA
State: optimized geometry

ΔH_f (0 K) = 0.32 eV/atom
electronic total energy = -34.4 eV per cell

Geometry as CIF:
```
data_RbGa2Ag
_chemical_formula_sum 'Rb4 Ga8 Ag4'
_cell_length_a 7.3725
_cell_length_b 7.3725
_cell_length_c 7.3725
_cell_angle_alpha 90.00
_cell_angle_beta 90.00
_cell_angle_gamma 90.00
_symmetry_space_group_name_H-M 'F m -3 m'
_symmetry_Int_Tables_number 225
_symmetry_space_group_name_Hall '-F 4 2 3'
loop_
_atom_site_label
_atom_site_fract_x
_atom_site_fract_y
_atom_site_fract_z
_atom_site_occupancy
Rb1 0.0000 0.0000 0.0000 1
Ga1 0.2500 0.2500 0.2500 1
Ag1 0.0000 0.0000 0.5000 1
```

(6)
Material: Sr2LiCaAu
Method: DFT, PBE-GGA
State: optimized geometry

ΔH_f (0 K) = -0.23 eV/atom
energy above the lowest structure with this stoichiometry = 0.041 eV/atom
electronic total energy = -11.7 eV per cell

Geometry as CIF:
```
data_Sr2LiCaAu
_chemical_formula_sum 'Sr2 Li1 Ca1 Au1'
_cell_length_a 6.1457
_cell_length_b 6.1457
_cell_length_c 5.1804
_cell_angle_alpha 90.00
_cell_angle_beta 90.00
_cell_angle_gamma 90.00
_symmetry_space_group_name_H-M 'P 4/m m m'
_symmetry_Int_Tables_number 123
_symmetry_space_group_name_Hall '-P 4 2'
loop_
_atom_site_label
_atom_site_fract_x
_atom_site_fract_y
_atom_site_fract_z
_atom_site_occupancy
Sr1 0.0000 0.5000 0.0000 1
Li1 0.0000 0.0000 0.5000 1
Ca1 0.5000 0.5000 0.5000 1
Au1 0.0000 0.0000 0.0000 1
```

(7)
Material: Th5Tc2Pt2
Method: DFT, PBE-GGA
State: optimized geometry

ΔH_f (0 K) = -0.60 eV/atom
electronic total energy = -301.3 eV per cell

Geometry as CIF:
```
data_Th5Tc2Pt2
_chemical_formula_sum 'Th20 Tc8 Pt8'
_cell_length_a 14.9700
_cell_length_b 7.7865
_cell_length_c 7.7011
_cell_angle_alpha 90.00
_cell_angle_beta 90.00
_cell_angle_gamma 90.00
_symmetry_space_group_name_H-M 'C m c e'
_symmetry_Int_Tables_number 64
_symmetry_space_group_name_Hall '-C 2ac 2'
loop_
_atom_site_label
_atom_site_fract_x
_atom_site_fract_y
_atom_site_fract_z
_atom_site_occupancy
Th1 0.0000 0.0000 0.0000 1
Th2 0.1327 0.1726 0.3344 1
Tc1 0.0000 0.1387 0.6386 1
Pt1 0.2105 0.0000 0.0000 1
```

(8)
Material: CaCeTc4
Method: DFT, PBE-GGA
State: optimized geometry

ΔH_f (0 K) = 0.13 eV/atom
electronic total energy = -194.5 eV per cell

Geometry as CIF:
```
data_CaCeTc4
_chemical_formula_sum 'Ca4 Ce4 Tc16'
_cell_length_a 7.6705
_cell_length_b 7.6705
_cell_length_c 7.6705
_cell_angle_alpha 90.00
_cell_angle_beta 90.00
_cell_angle_gamma 90.00
_symmetry_space_group_name_H-M 'F -4 3 m'
_symmetry_Int_Tables_number 216
_symmetry_space_group_name_Hall 'F -4 2 3'
loop_
_atom_site_label
_atom_site_fract_x
_atom_site_fract_y
_atom_site_fract_z
_atom_site_occupancy
Ca1 0.0000 0.0000 0.0000 1
Ce1 0.2500 0.2500 0.7500 1
Tc1 0.1251 0.1251 0.3749 1
```

Please write out number 5 again, unchanged.
Material: RbGa2Ag
Method: DFT, PBE-GGA
State: optimized geometry

ΔH_f (0 K) = 0.32 eV/atom
electronic total energy = -34.4 eV per cell

Geometry as CIF:
```
data_RbGa2Ag
_chemical_formula_sum 'Rb4 Ga8 Ag4'
_cell_length_a 7.3725
_cell_length_b 7.3725
_cell_length_c 7.3725
_cell_angle_alpha 90.00
_cell_angle_beta 90.00
_cell_angle_gamma 90.00
_symmetry_space_group_name_H-M 'F m -3 m'
_symmetry_Int_Tables_number 225
_symmetry_space_group_name_Hall '-F 4 2 3'
loop_
_atom_site_label
_atom_site_fract_x
_atom_site_fract_y
_atom_site_fract_z
_atom_site_occupancy
Rb1 0.0000 0.0000 0.0000 1
Ga1 0.2500 0.2500 0.2500 1
Ag1 0.0000 0.0000 0.5000 1
```

Q: Which formula does entry 4 have?
A: CrCdBr4

Q: Look up the electronic total energy of the fourth one.
A: -53.6 eV per cell

Q: What is the formula in the first record?
A: CsSbS2Cl